No. 1
YTm6In4 (GGA-PBE, optimized geometry); magnetization = 2.2 Bohr magnetons per cell; Fermi-level density of states = 0.93 states/eV/atom; crystal system = hexagonal; E = -47.4 eV for the cell shown
1.0
9.970 0.000 0.000
-4.985 8.634 0.000
0.000 0.000 3.656
Y Tm In
1 6 4
Direct
0.000 0.000 0.000 Y
0.072 0.536 0.000 Tm
0.379 0.190 0.500 Tm
0.464 0.536 0.000 Tm
0.464 0.928 0.000 Tm
0.810 0.190 0.500 Tm
0.810 0.621 0.500 Tm
0.162 0.325 0.500 In
0.162 0.838 0.500 In
0.667 0.333 0.000 In
0.675 0.838 0.500 In

=====

No. 2
Y12Tm5In2 (GGA-PBE, optimized geometry); magnetization = 0.0 Bohr magnetons per cell; Fermi-level density of states = 1.59 states/eV/atom; crystal system = monoclinic; E = -105.5 eV for the cell shown
1.0
7.638 -4.681 0.000
7.638 4.681 0.000
-0.188 0.000 8.297
Y Tm In
12 5 2
Direct
0.053 0.053 0.321 Y
0.073 0.677 0.342 Y
0.165 0.535 0.767 Y
0.323 0.927 0.658 Y
0.415 0.415 0.117 Y
0.465 0.835 0.233 Y
0.535 0.165 0.767 Y
0.585 0.585 0.883 Y
0.677 0.073 0.342 Y
0.835 0.465 0.233 Y
0.927 0.323 0.658 Y
0.947 0.947 0.679 Y
0.188 0.188 0.006 Tm
0.265 0.265 0.419 Tm
0.500 0.500 0.500 Tm
0.735 0.735 0.581 Tm
0.812 0.812 0.994 Tm
0.183 0.817 0.000 In
0.817 0.183 0.000 In

=====

No. 3
Y4TmIn3 (GGA-PBE, optimized geometry); magnetization = 1.2 Bohr magnetons per cell; Fermi-level density of states = 1.28 states/eV/atom; crystal system = trigonal; E = -41.3 eV for the cell shown
1.0
2.680 1.547 9.012
-2.680 1.547 9.012
0.000 -3.095 9.012
Y Tm In
4 1 3
Direct
0.115 0.115 0.115 Y
0.371 0.371 0.371 Y
0.629 0.629 0.629 Y
0.885 0.885 0.885 Y
0.500 0.500 0.500 Tm
0.000 0.000 0.000 In
0.237 0.237 0.237 In
0.763 0.763 0.763 In

=====

No. 4
Y8Tm2In (GGA-PBE, optimized geometry); magnetization = 0.0 Bohr magnetons per cell; Fermi-level density of states = 1.65 states/eV/atom; crystal system = monoclinic; E = -62.7 eV for the cell shown
1.0
9.228 -3.400 0.000
9.228 3.400 0.000
-0.234 0.000 5.671
Y Tm In
8 2 1
Direct
0.050 0.050 0.232 Y
0.111 0.635 0.256 Y
0.324 0.324 0.770 Y
0.365 0.889 0.744 Y
0.635 0.111 0.256 Y
0.676 0.676 0.230 Y
0.889 0.365 0.744 Y
0.950 0.950 0.768 Y
0.219 0.219 0.261 Tm
0.781 0.781 0.739 Tm
0.500 0.500 0.000 In

=====

No. 5
Y2TmIn9 (GGA-PBE, optimized geometry); magnetization = 0.0 Bohr magnetons per cell; Fermi-level density of states = 0.38 states/eV/atom; crystal system = tetragonal; E = -46.9 eV for the cell shown
1.0
4.636 0.000 0.000
0.000 4.636 0.000
0.000 0.000 13.888
Y Tm In
2 1 9
Direct
0.000 0.000 0.167 Y
0.000 0.000 0.833 Y
0.000 0.000 0.500 Tm
0.000 0.500 0.000 In
0.000 0.500 0.335 In
0.000 0.500 0.665 In
0.500 0.000 0.000 In
0.500 0.000 0.335 In
0.500 0.000 0.665 In
0.500 0.500 0.167 In
0.500 0.500 0.500 In
0.500 0.500 0.833 In

=====

No. 6
Y3Tm2In (GGA-PBE, optimized geometry); magnetization = 0.0 Bohr magnetons per cell; Fermi-level density of states = 1.11 states/eV/atom; crystal system = orthorhombic; E = -32.1 eV for the cell shown
1.0
2.440 -7.498 0.000
2.440 7.498 0.000
0.000 0.000 4.827
Y Tm In
3 2 1
Direct
0.000 0.000 0.000 Y
0.332 0.668 0.000 Y
0.668 0.332 0.000 Y
0.163 0.837 0.500 Tm
0.837 0.163 0.500 Tm
0.500 0.500 0.500 In

=====

- Look up the E of the third one.
  -41.3 eV for the cell shown

=====

Copy entry 5 word for word.
Y2TmIn9 (GGA-PBE, optimized geometry); magnetization = 0.0 Bohr magnetons per cell; Fermi-level density of states = 0.38 states/eV/atom; crystal system = tetragonal; E = -46.9 eV for the cell shown
1.0
4.636 0.000 0.000
0.000 4.636 0.000
0.000 0.000 13.888
Y Tm In
2 1 9
Direct
0.000 0.000 0.167 Y
0.000 0.000 0.833 Y
0.000 0.000 0.500 Tm
0.000 0.500 0.000 In
0.000 0.500 0.335 In
0.000 0.500 0.665 In
0.500 0.000 0.000 In
0.500 0.000 0.335 In
0.500 0.000 0.665 In
0.500 0.500 0.167 In
0.500 0.500 0.500 In
0.500 0.500 0.833 In